1.
Entry from Alexandria via LeMat-Bulk: a relaxed structure of SrNiMo2 (PBE-GGA).

space-group type: Cmm2, No. 35
calculated volume: 73.4 Å³/f.u.
magnetic moment: 0.0 μB per cell
energy of formation: 240 kJ/mol of formula units
ΔE to the lowest computed polymorph: 170 meV/atom

Cell and atoms, written as extended XYZ:
```
4
Lattice="1.791 -2.323 0.000 1.791 2.323 0.000 0.000 0.000 8.817" Properties=species:S:1:pos:R:3 pbc="T T T"
Sr 0.000 0.000 0.000
Ni 1.791 0.000 6.412
Mo 0.000 0.000 4.738
Mo 1.791 0.000 2.796
```


2.
Entry from Alexandria via LeMat-Bulk: a relaxed structure of La2TeWC (PBE-GGA).

space-group type: P4/mmm, No. 123
ΔE_f (raw): 1.5339 eV/atom
calculated volume: 150.3 Å³/f.u.
magnetic moment: 3.0 μB per cell

Cell and atoms, written as extended XYZ:
```
5
Lattice="6.006 0.000 0.000 0.000 6.006 0.000 0.000 0.000 4.166" Properties=species:S:1:pos:R:3 pbc="T T T"
La 0.000 3.003 0.000
La 3.003 0.000 0.000
Te 0.000 0.000 0.000
W 3.003 3.003 2.083
C 0.000 0.000 2.083
```


3.
Entry from Alexandria via LeMat-Bulk: a relaxed structure of SrCu2O3 (PBE-GGA).

space-group type: Cmmm, No. 65
ΔE_f (raw): -1.3283 eV/atom
calculated volume: 82.0 Å³/f.u.
magnetic moment: 0.0 μB per cell
ΔE to the lowest computed polymorph: 3 meV/atom

Cell and atoms, written as extended XYZ:
```
6
Lattice="1.983 -5.817 0.000 1.983 5.817 0.000 0.000 0.000 3.556" Properties=species:S:1:pos:R:3 pbc="T T T"
Sr 0.000 0.000 0.000
Cu 1.983 1.910 1.778
Cu 1.983 -1.910 1.778
O 1.983 3.819 1.778
O 1.983 0.000 1.778
O 1.983 -3.819 1.778
```


4.
Entry from Alexandria via LeMat-Bulk: a relaxed structure of LaMg2AlHg2 (PBE-GGA).

space-group type: I4/mmm, No. 139
calculated volume: 167.7 Å³/f.u.
magnetic moment: 0.0 μB per cell
energy of formation: -1 kJ/mol of formula units

Cell and atoms, written as extended XYZ:
```
6
Lattice="-2.674 2.674 5.866 2.674 -2.674 5.866 2.674 2.674 -5.866" Properties=species:S:1:pos:R:3 pbc="T T T"
La 0.000 0.000 0.000
Mg 2.674 0.000 2.933
Mg 0.000 2.674 2.933
Al 0.000 0.000 5.866
Hg 0.000 0.000 3.324
Hg 0.000 0.000 8.407
```